No. 1
# SmDySc | the Alexandria database | GGA-PBE | optimized geometry
# **Space-group type**: P2_1/m
data_SmDySc
_cell_length_a 3.5344
_cell_length_b 5.5716
_cell_length_c 9.3250
_cell_angle_alpha 90.00
_cell_angle_beta 100.89
_cell_angle_gamma 90.00
_symmetry_space_group_name_H-M 'P 1'
_symmetry_Int_Tables_number 1
_symmetry_space_group_name_Hall 'P 1'
loop_
_atom_site_label
_atom_site_type_symbol
_atom_site_fract_x
_atom_site_fract_y
_atom_site_fract_z
Sm1 Sm 0.2209 0.2500 0.4411
Sm2 Sm 0.7791 0.7500 0.5589
Dy1 Dy 0.1045 0.7500 0.2091
Dy2 Dy 0.8955 0.2500 0.7909
Sc1 Sc 0.4476 0.7500 0.8954
Sc2 Sc 0.5524 0.2500 0.1046

=====

No. 2
# SmDy8Sc3 | the Alexandria database | GGA-PBE | optimized geometry
# **Space-group type**: P1
data_SmDy8Sc3
_cell_length_a 6.3698
_cell_length_b 8.2351
_cell_length_c 8.4154
_cell_angle_alpha 105.90
_cell_angle_beta 109.92
_cell_angle_gamma 107.00
_symmetry_space_group_name_H-M 'P 1'
_symmetry_Int_Tables_number 1
_symmetry_space_group_name_Hall 'P 1'
loop_
_atom_site_label
_atom_site_type_symbol
_atom_site_fract_x
_atom_site_fract_y
_atom_site_fract_z
Sm1 Sm 0.0000 0.0000 0.0000
Dy1 Dy 0.0538 0.1773 0.6560
Dy2 Dy 0.4481 0.8401 0.1502
Dy3 Dy 0.4928 0.2162 0.4842
Dy4 Dy 0.5115 0.5863 0.8156
Dy5 Dy 0.5602 0.7708 0.5246
Dy6 Dy 0.9030 0.4039 0.9553
Dy7 Dy 0.9764 0.3416 0.3326
Dy8 Dy 0.9920 0.7748 0.3380
Sc1 Sc 0.4310 0.0195 0.8405
Sc2 Sc 0.4636 0.4099 0.1433
Sc3 Sc 0.9848 0.6284 0.6967

=====

No. 3
# Sm7Dy3Sc | the Alexandria database | GGA-PBE | optimized geometry
# **Space-group type**: P1
data_Sm7Dy3Sc
_cell_length_a 6.9892
_cell_length_b 10.0034
_cell_length_c 11.0518
_cell_angle_alpha 90.00
_cell_angle_beta 90.00
_cell_angle_gamma 70.22
_symmetry_space_group_name_H-M 'P 1'
_symmetry_Int_Tables_number 1
_symmetry_space_group_name_Hall 'P 1'
loop_
_atom_site_label
_atom_site_type_symbol
_atom_site_fract_x
_atom_site_fract_y
_atom_site_fract_z
Sm1 Sm 0.0000 0.0000 0.0000
Sm2 Sm 0.9995 0.0009 0.4676
Sm3 Sm 0.0540 0.8427 0.7341
Sm4 Sm 0.1153 0.7636 0.2340
Sm5 Sm 0.2473 0.4961 0.7334
Sm6 Sm 0.3188 0.3586 0.4409
Sm7 Sm 0.3197 0.3565 0.0251
Sm8 Sm 0.5134 0.9925 0.5250
Sm9 Sm 0.5142 0.9904 0.9410
Sm10 Sm 0.5865 0.8529 0.2335
Sm11 Sm 0.7174 0.5856 0.7340
Sm12 Sm 0.7812 0.5061 0.2341
Sm13 Sm 0.8335 0.3489 0.5001
Sm14 Sm 0.8339 0.3480 0.9675
Dy1 Dy 0.1503 0.1809 0.7336
Dy2 Dy 0.1737 0.1492 0.2337
Dy3 Dy 0.4175 0.6734 0.9846
Dy4 Dy 0.4167 0.6752 0.4838
Dy5 Dy 0.6601 0.1994 0.7337
Dy6 Dy 0.6830 0.1685 0.2336
Sc1 Sc 0.9171 0.6740 0.9838
Sc2 Sc 0.9166 0.6752 0.4842

=====

No. 4
# Sm8Dy2Sc | the Alexandria database | GGA-PBE | optimized geometry
# **Space-group type**: C2/m
data_Sm8Dy2Sc
_cell_length_a 8.9236
_cell_length_b 8.9236
_cell_length_c 6.6651
_cell_angle_alpha 101.01
_cell_angle_beta 101.01
_cell_angle_gamma 44.34
_symmetry_space_group_name_H-M 'P 1'
_symmetry_Int_Tables_number 1
_symmetry_space_group_name_Hall 'P 1'
loop_
_atom_site_label
_atom_site_type_symbol
_atom_site_fract_x
_atom_site_fract_y
_atom_site_fract_z
Sm1 Sm 0.0958 0.0958 0.9166
Sm2 Sm 0.1592 0.6774 0.6107
Sm3 Sm 0.2546 0.2546 0.6715
Sm4 Sm 0.3226 0.8408 0.3893
Sm5 Sm 0.6774 0.1592 0.6107
Sm6 Sm 0.7454 0.7454 0.3285
Sm7 Sm 0.8408 0.3226 0.3893
Sm8 Sm 0.9042 0.9042 0.0834
Dy1 Dy 0.3130 0.3130 0.1909
Dy2 Dy 0.6870 0.6870 0.8091
Sc1 Sc 0.5000 0.5000 0.0000

=====

No. 5
# SmDy8Sc2 | the Alexandria database | GGA-PBE | optimized geometry
# **Space-group type**: Immm
data_SmDy8Sc2
_cell_length_a 9.1810
_cell_length_b 9.1810
_cell_length_c 9.1810
_cell_angle_alpha 145.95
_cell_angle_beta 127.32
_cell_angle_gamma 64.23
_symmetry_space_group_name_H-M 'P 1'
_symmetry_Int_Tables_number 1
_symmetry_space_group_name_Hall 'P 1'
loop_
_atom_site_label
_atom_site_type_symbol
_atom_site_fract_x
_atom_site_fract_y
_atom_site_fract_z
Sm1 Sm 0.0000 0.0000 0.0000
Dy1 Dy 0.1524 0.8574 0.2950
Dy2 Dy 0.1640 0.6640 0.5000
Dy3 Dy 0.2997 0.5000 0.7997
Dy4 Dy 0.4376 0.1426 0.2950
Dy5 Dy 0.5624 0.8574 0.7050
Dy6 Dy 0.7003 0.5000 0.2003
Dy7 Dy 0.8360 0.3360 0.5000
Dy8 Dy 0.8476 0.1426 0.7050
Sc1 Sc 0.3000 0.3000 0.0000
Sc2 Sc 0.7000 0.7000 0.0000

=====

No. 6
# Sm5Dy2Sc2 | the Alexandria database | GGA-PBE | optimized geometry
# **Space-group type**: Ima2
data_Sm5Dy2Sc2
_cell_length_a 11.0898
_cell_length_b 11.0898
_cell_length_c 11.0898
_cell_angle_alpha 59.62
_cell_angle_beta 135.03
_cell_angle_gamma 142.96
_symmetry_space_group_name_H-M 'P 1'
_symmetry_Int_Tables_number 1
_symmetry_space_group_name_Hall 'P 1'
loop_
_atom_site_label
_atom_site_type_symbol
_atom_site_fract_x
_atom_site_fract_y
_atom_site_fract_z
Sm1 Sm 0.2057 0.0006 0.7051
Sm2 Sm 0.2269 0.1086 0.3355
Sm3 Sm 0.2269 0.3914 0.6183
Sm4 Sm 0.2515 0.6615 0.9142
Sm5 Sm 0.2515 0.8372 0.0900
Sm6 Sm 0.2955 0.5006 0.2949
Sm7 Sm 0.7473 0.1615 0.9100
Sm8 Sm 0.7473 0.3372 0.0858
Sm9 Sm 0.7731 0.6086 0.3817
Sm10 Sm 0.7731 0.8914 0.6645
Dy1 Dy 0.6884 0.4968 0.6916
Dy2 Dy 0.7150 0.2150 0.5000
Dy3 Dy 0.7150 0.7150 0.0000
Dy4 Dy 0.8052 0.9968 0.3084
Sc1 Sc 0.1101 0.2854 0.9022
Sc2 Sc 0.1101 0.7079 0.3247
Sc3 Sc 0.3832 0.2079 0.0978
Sc4 Sc 0.3832 0.7854 0.6753

=====

No. 7
# Sm8DySc2 | the Alexandria database | GGA-PBE | optimized geometry
# **Space-group type**: C2/m
data_Sm8DySc2
_cell_length_a 9.1893
_cell_length_b 9.1893
_cell_length_c 5.8471
_cell_angle_alpha 105.14
_cell_angle_beta 105.14
_cell_angle_gamma 121.60
_symmetry_space_group_name_H-M 'P 1'
_symmetry_Int_Tables_number 1
_symmetry_space_group_name_Hall 'P 1'
loop_
_atom_site_label
_atom_site_type_symbol
_atom_site_fract_x
_atom_site_fract_y
_atom_site_fract_z
Sm1 Sm 0.0970 0.3360 0.6723
Sm2 Sm 0.2083 0.7917 0.0000
Sm3 Sm 0.3360 0.0970 0.6723
Sm4 Sm 0.4223 0.4223 0.2063
Sm5 Sm 0.5777 0.5777 0.7937
Sm6 Sm 0.6640 0.9030 0.3277
Sm7 Sm 0.7917 0.2083 0.0000
Sm8 Sm 0.9030 0.6640 0.3277
Dy1 Dy 0.0000 0.0000 0.0000
Sc1 Sc 0.3101 0.6899 0.5000
Sc2 Sc 0.6899 0.3101 0.5000

=====

No. 8
# SmDy8Sc4 | the Alexandria database | GGA-PBE | optimized geometry
# **Space-group type**: R-3m
data_SmDy8Sc4
_cell_length_a 9.7952
_cell_length_b 9.7952
_cell_length_c 9.7952
_cell_angle_alpha 42.38
_cell_angle_beta 42.38
_cell_angle_gamma 42.38
_symmetry_space_group_name_H-M 'P 1'
_symmetry_Int_Tables_number 1
_symmetry_space_group_name_Hall 'P 1'
loop_
_atom_site_label
_atom_site_type_symbol
_atom_site_fract_x
_atom_site_fract_y
_atom_site_fract_z
Sm1 Sm 0.0000 0.0000 0.0000
Dy1 Dy 0.2524 0.2524 0.7049
Dy2 Dy 0.2524 0.7049 0.2524
Dy3 Dy 0.2824 0.2824 0.2824
Dy4 Dy 0.2951 0.7476 0.7476
Dy5 Dy 0.7049 0.2524 0.2524
Dy6 Dy 0.7176 0.7176 0.7176
Dy7 Dy 0.7476 0.2951 0.7476
Dy8 Dy 0.7476 0.7476 0.2951
Sc1 Sc 0.0000 0.0000 0.5000
Sc2 Sc 0.0000 0.5000 0.0000
Sc3 Sc 0.5000 0.0000 0.0000
Sc4 Sc 0.5000 0.5000 0.5000

=====

Looking at formation energy from the elements for the records above, in order, we have 0.0424, 0.0928, 0.1258, 0.1753, 0.1241, 0.2084, 0.1611, 0.2454 eV per atom.